First-principles (PBE) data for an optimized crystal structure of Li15Cd2Ga2, as listed in Alexandria via LeMat-Bulk.

abc: 7.403 7.403 7.403
angles: 67.71 67.71 67.71
Fractional coordinates of all 19 atoms:
Li1 0.562 0.192 0.562
Li2 0.808 0.438 0.438
Li3 0.438 0.808 0.438
Li4 0.000 0.706 0.294
Li5 0.562 0.562 0.192
Li6 0.000 0.000 0.500
Li7 0.000 0.294 0.706
Li8 0.706 0.294 0.000
Li9 0.438 0.438 0.808
Li10 0.000 0.500 0.000
Li11 0.706 0.000 0.294
Li12 0.192 0.562 0.562
Li13 0.294 0.706 0.000
Li14 0.500 0.000 0.000
Li15 0.294 0.000 0.706
Cd1 0.717 0.717 0.717
Cd2 0.283 0.283 0.283
Ga1 0.910 0.910 0.910
Ga2 0.090 0.090 0.090

First-principles (PBE) data for an optimized crystal structure of Li2CdGa, as listed in Alexandria via LeMat-Bulk.

abc: 3.261 3.261 6.381
angles: 90.00 90.00 90.00
Fractional coordinates of all 4 atoms:
Li1 0.000 0.000 0.766
Li2 0.000 0.000 0.234
Cd1 0.500 0.500 0.500
Ga1 0.500 0.500 0.000

Number 1: E_tot -1.987 eV per atom, energy of formation -112 kJ/mol of formula units. Number 2: E_tot -2.193 eV per atom, energy of formation -97 kJ/mol of formula units.